Record 1
Material: K2HgCl4
Method: DFT, PBE
State: relaxed

Properties
- ΔE_f (raw) (eV/atom) = -1.3688

Lattice parameters (Å, degrees): 4.2805 8.0580 7.9024 123.72 105.71 90.00
Closest atoms and distances in Å follow each position.
Positions (direct):
1 K 0.6565 0.6114 0.3129  7 Cl 3.12-3.36
2 K 0.3435 0.3886 0.6871  7 Cl 3.12-3.36
3 Hg 0.0000 0.0000 0.0000  2 Cl 2.47
4 Cl 0.9691 0.2690 0.9382  1 Hg 2.47
5 Cl 0.0309 0.7310 0.0618  1 Hg 2.47
6 Cl 0.6620 0.2199 0.3240  2 Hg 2.96, 3 K 3.12-3.20
7 Cl 0.3380 0.7801 0.6760  2 Hg 2.96, 3 K 3.12-3.20

***

Record 2
Material: SrNiAs2
Method: DFT, PBE
State: relaxed

Properties
- energy of formation from the pure elements (eV per atom) = -0.51

Lattice parameters (Å, degrees): 5.1857 5.1857 5.1857 134.58 106.49 90.82
Closest atoms and distances in Å follow each position.
Positions (direct):
1 As 0.9224 0.9224 0.0000  2 Ni 2.36, 1 As 2.51
2 As 0.5776 0.5776 0.0000  2 Ni 2.36, 1 As 2.51
3 Ni 0.7500 0.2500 0.5000  4 As 2.36
4 Sr 0.2500 0.7500 0.5000  8 As 3.11-3.35

***

Record 3
Material: LiCuMo2
Method: DFT, PBE
State: relaxed

Properties
- energy of formation from the pure elements (eV per atom) = 0.30

Lattice parameters (Å, degrees): 5.1254 5.1254 5.1254 143.41 134.18 60.01
Closest atoms and distances in Å follow each position.
Positions (direct):
1 Cu 0.7500 0.2500 0.5000  4 Li 2.56, 4 Mo 2.72
2 Li 0.2500 0.7500 0.5000  4 Cu 2.56, 4 Mo 2.76
3 Mo 0.9977 0.9977 0.0000  4 Mo 2.56, 2 Cu 2.72, 2 Li 2.76
4 Mo 0.5023 0.5023 0.0000  4 Mo 2.56, 2 Cu 2.72, 2 Li 2.76

***

Record 4
Material: HgPb2Br2
Method: DFT, PBE
State: relaxed

Properties
- ΔE_f (raw) (eV/atom) = -0.3510

Lattice parameters (Å, degrees): 6.1554 6.1554 6.4807 61.65 61.65 90.00
Closest atoms and distances in Å follow each position.
Positions (direct):
1 Pb 0.3205 0.3205 0.3591  1 Hg 3.08, 4 Br 3.15
2 Pb 0.6795 0.6795 0.6409  1 Hg 3.08, 4 Br 3.15
3 Hg 0.0000 0.0000 0.0000  2 Pb 3.08
4 Br 0.7500 0.2500 0.5000  4 Pb 3.15
5 Br 0.2500 0.7500 0.5000  4 Pb 3.15

***

Record 5
Material: LiTa2Si
Method: DFT, PBE
State: relaxed

Properties
- ΔE_f (raw) (eV/atom) = 0.1522

Lattice parameters (Å, degrees): 2.8467 2.8467 8.2386 90.00 90.00 90.00
Closest atoms and distances in Å follow each position.
Positions (direct):
1 Li 0.5000 0.5000 0.2500  4 Li 2.85, 8 Ta 3.09
2 Si 0.5000 0.5000 0.7500  8 Ta 2.68, 4 Si 2.85
3 Ta 0.0000 0.0000 0.9656  4 Si 2.68, 4 Ta 2.85
4 Ta 0.0000 0.0000 0.5344  4 Si 2.68, 4 Ta 2.85

***

Record 6
Material: LiTb2Ga3Pd4
Method: DFT, PBE
State: relaxed

Properties
- energy of formation from the pure elements (eV per atom) = -0.76

Lattice parameters (Å, degrees): 3.9927 3.9927 11.6394 90.00 90.00 90.00
Closest atoms and distances in Å follow each position.
Positions (direct):
1 Li 0.5000 0.5000 0.5000  4 Pd 2.64, 4 Ga 2.82
2 Tb 0.5000 0.0000 0.2506  4 Pd 3.06, 4 Ga 3.13
3 Tb 0.0000 0.5000 0.7494  4 Pd 3.06, 4 Ga 3.13
4 Ga 0.0000 0.0000 0.5000  4 Pd 2.64, 4 Li 2.82
5 Ga 0.5000 0.0000 0.8664  5 Pd 2.53
6 Ga 0.0000 0.5000 0.1336  5 Pd 2.53
7 Pd 0.5000 0.5000 0.0000  4 Ga 2.53, 4 Pd 2.82
8 Pd 0.0000 0.0000 0.0000  4 Ga 2.53, 4 Pd 2.82
9 Pd 0.5000 0.0000 0.6487  3 Ga 2.53-2.64, 2 Li 2.64
10 Pd 0.0000 0.5000 0.3513  3 Ga 2.53-2.64, 2 Li 2.64

***

Record 7
Material: Ac3TbNd4
Method: DFT, PBE
State: relaxed

Properties
- energy of formation from the pure elements (eV per atom) = 0.04

Lattice parameters (Å, degrees): 5.3579 10.6834 10.6933 90.00 90.00 90.00
Closest atoms and distances in Å follow each position.
Positions (direct):
1 Nd 0.0644 0.8840 0.0000  8 Nd 3.63-3.82, 4 Ac 3.80-3.83
2 Nd 0.5644 0.1198 0.0000  8 Nd 3.68-3.75, 2 Ac 3.73, 2 Tb 3.74
3 Nd 0.0644 0.1181 0.2459  8 Nd 3.63-3.82, 1 Tb 3.72, 3 Ac 3.78-3.81
4 Nd 0.5644 0.8819 0.2541  8 Nd 3.63-3.82, 1 Tb 3.72, 3 Ac 3.78-3.81
5 Nd 0.0644 0.8802 0.5000  8 Nd 3.68-3.75, 2 Ac 3.73, 2 Tb 3.74
6 Nd 0.5644 0.1160 0.5000  8 Nd 3.63-3.82, 4 Ac 3.80-3.83
7 Nd 0.5644 0.8819 0.7459  8 Nd 3.63-3.82, 1 Tb 3.72, 3 Ac 3.78-3.81
8 Nd 0.0644 0.1181 0.7541  8 Nd 3.63-3.82, 1 Tb 3.72, 3 Ac 3.78-3.81
9 Ac 0.5644 0.6313 0.0000  4 Nd 3.80-3.81, 6 Ac 3.82-3.85, 2 Tb 3.91
10 Ac 0.0644 0.6322 0.2546  4 Nd 3.73-3.83, 3 Tb 3.75-3.95, 5 Ac 3.82-3.89
11 Ac 0.5644 0.3678 0.2454  4 Nd 3.73-3.83, 3 Tb 3.75-3.95, 5 Ac 3.82-3.89
12 Ac 0.0644 0.3687 0.5000  4 Nd 3.80-3.81, 6 Ac 3.82-3.85, 2 Tb 3.91
13 Ac 0.5644 0.3678 0.7546  4 Nd 3.73-3.83, 3 Tb 3.75-3.95, 5 Ac 3.82-3.89
14 Ac 0.0644 0.6322 0.7454  4 Nd 3.73-3.83, 3 Tb 3.75-3.95, 5 Ac 3.82-3.89
15 Tb 0.0644 0.3642 0.0000  4 Nd 3.72-3.74, 8 Ac 3.75-3.95
16 Tb 0.5644 0.6358 0.5000  4 Nd 3.72-3.74, 8 Ac 3.75-3.95

***

Record 8
Material: ScBiRhBr2
Method: DFT, PBE
State: relaxed

Properties
- ΔE_f (raw) (eV/atom) = -0.0493

Lattice parameters (Å, degrees): 4.9905 5.2469 4.9905 90.00 90.00 90.00
Closest atoms and distances in Å follow each position.
Positions (direct):
1 Sc 0.0000 0.5000 0.0000  2 Rh 2.62
2 Rh 0.0000 0.0000 0.0000  4 Br 2.50, 2 Sc 2.62
3 Bi 0.5000 0.5000 0.5000  4 Sc 3.53, 8 Br 3.62
4 Br 0.0000 0.0000 0.5000  2 Rh 2.50
5 Br 0.5000 0.0000 0.0000  2 Rh 2.50